1.
Compound: Hf6BeBi3
Source: the Alexandria database
Functional: GGA-PBE
Structure: optimized geometry

Values from the calculation:
Calculated formation energy: 20 meV/atom
Spin magnetization: 0.000 Bohr magnetons per cell
SG: P2_1/m

Cell lengths 3.318, 12.146, 13.388 Å; angles 120.73, 90.00, 90.00 degrees
Fractional coordinates of all 20 atoms:
Be: 0.750 0.748 0.098
Bi: 0.750 0.173 0.270
Bi: 0.250 0.189 0.539
Bi: 0.250 0.827 0.730
Bi: 0.750 0.811 0.461
Hf: 0.250 0.043 0.658
Hf: 0.750 0.819 0.922
Hf: 0.750 0.302 0.778
Hf: 0.250 0.181 0.078
Hf: 0.750 0.614 0.529
Hf: 0.250 0.570 0.950
Hf: 0.750 0.957 0.342
Hf: 0.250 0.924 0.136
Hf: 0.750 0.076 0.864
Hf: 0.250 0.698 0.222
Hf: 0.250 0.386 0.471
Bi: 0.750 0.534 0.724
Hf: 0.750 0.430 0.050
Be: 0.250 0.252 0.902
Bi: 0.250 0.466 0.276



2.
Compound: Pm3Fe2Si4
Source: the Alexandria database
Functional: GGA-PBE
Structure: optimized geometry

Values from the calculation:
Formation energy without anion corrections: -630 meV/atom
Spin magnetization: 0.001 Bohr magnetons per cell
SG: C2/m

Cell lengths 4.097, 5.829, 8.013 Å; angles 106.07, 90.00, 110.58 degrees
Fractional coordinates of all 9 atoms:
Fe: 0.694 0.389 0.362
Si: 0.118 0.237 0.402
Pm: 0.388 0.777 0.308
Pm: 0.000 0.000 0.000
Fe: 0.306 0.611 0.638
Si: 0.720 0.440 0.083
Si: 0.882 0.763 0.598
Pm: 0.612 0.223 0.692
Si: 0.280 0.560 0.917



3.
Compound: KCdSCl2
Source: the Alexandria database
Functional: GGA-PBE
Structure: optimized geometry

Values from the calculation:
Formation energy without anion corrections: 36 meV/atom
ΔE to the lowest computed polymorph: 0.906 eV/atom
Spin magnetization: 1.424 Bohr magnetons per cell
SG: P4/mmm

Cell lengths 5.677, 5.677, 5.716 Å; angles 90.00, 90.00, 90.00 degrees
Last column: magnetic moment on the atom in μB.
Fractional coordinates of all 5 atoms:
Cl: 0.000 0.500 0.000  0.05
K: 0.000 0.000 0.000  0.02
S: 0.000 0.000 0.500  0.89
Cl: 0.500 0.000 0.000  0.05
Cd: 0.500 0.500 0.500  -0.10



Question: What is the spin magnetization in the first record?
Answer: 0.000 Bohr magnetons per cell